HgPt2NO (PBE, optimized geometry); DOS at the Fermi energy = 0.898 states/eV per atom; magnetization = 3.3 Bohr magnetons per cell; symmetry = P4/mmm, No. 123; E_tot = -2.77 eV per atom
1.0
5.2060 0.0000 0.0000
0.0000 3.9280 0.0000
0.0000 0.0000 5.2060
Pt O Hg N
2 1 1 1
Cartesian
0.0000 0.0000 2.6030
2.6030 0.0000 0.0000
2.6030 1.9640 2.6030
0.0000 0.0000 0.0000
0.0000 1.9640 0.0000